# AgPbBr4

An optimized crystal structure of AgPbBr4 (PBE, the Alexandria database).

CIF file:
```
data_AgPbBr4
_cell_length_a 9.011
_cell_length_b 9.011
_cell_length_c 9.011
_cell_angle_alpha 90.00
_cell_angle_beta 90.00
_cell_angle_gamma 90.00
_symmetry_space_group_name_H-M 'F -4 3 m'
_symmetry_Int_Tables_number 216
_symmetry_space_group_name_Hall 'F -4 2 3'
loop_
_atom_site_label
_atom_site_type_symbol
_atom_site_fract_x
_atom_site_fract_y
_atom_site_fract_z
_atom_site_occupancy
Ag1 Ag 0.000 0.000 0.000 1
Pb1 Pb 0.250 0.250 0.750 1
Br1 Br 0.126 0.126 0.374 1
```

Properties
Polymorph energy (0 for the lowest one), eV per formula unit: 5.40
Uncorrected energy, Ry per atom: -0.1347
Crystal system: cubic
Uncorrected formation energy, meV/atom: 376

=====

# Sr6Cd5Sb

An optimized crystal structure of Sr6Cd5Sb (PBE, the Alexandria database).

CIF file:
```
data_Sr6Cd5Sb
_cell_length_a 5.757
_cell_length_b 17.377
_cell_length_c 8.014
_cell_angle_alpha 90.00
_cell_angle_beta 90.00
_cell_angle_gamma 90.00
_symmetry_space_group_name_H-M 'C m m m'
_symmetry_Int_Tables_number 65
_symmetry_space_group_name_Hall '-C 2 2'
loop_
_atom_site_label
_atom_site_type_symbol
_atom_site_fract_x
_atom_site_fract_y
_atom_site_fract_z
_atom_site_occupancy
Sr1 Sr 0.000 0.000 0.245 1
Sr2 Sr 0.000 0.336 0.250 1
Cd1 Cd 0.000 0.167 0.500 1
Cd2 Cd 0.000 0.176 0.000 1
Cd3 Cd 0.000 0.500 0.500 1
Sb1 Sb 0.000 0.500 0.000 1
```

Properties
Uncorrected energy, Ry per atom: -0.1485
Crystal system: orthorhombic
Uncorrected formation energy, meV/atom: -454